No. 1
Below is a geometry-optimized PuTlFe2O6 structure, with properties calculated at the PBE+U level.

Geometry as POSCAR:
```
PuTlFe2O6
1.0
5.5647 -0.0010 -0.0036
2.7816 4.7936 0.0440
2.7784 1.6449 4.9823
Tl O Fe Pu
1 6 2 1
direct
0.8094 0.8053 0.5758 Tl
0.7140 0.1403 0.7431 O
0.9201 0.6184 0.2399 O
0.3913 0.7132 0.7645 O
0.1212 0.3821 0.7717 O
0.2445 0.9107 0.2536 O
0.6065 0.2333 0.2417 O
0.0037 0.0190 0.9534 Fe
0.5303 0.5234 0.4255 Fe
0.3206 0.3158 0.0460 Pu
```

Results
- total DFT energy (no corrections) (eV/atom) = -7.415


No. 2
Below is a geometry-optimized Pu2TlFeO8 structure, with properties calculated at the PBE+U level.

Geometry as POSCAR:
```
Pu2TlFeO8
1.0
-1.8616 3.3629 -4.6877
-3.8033 -1.2085 4.5632
1.6896 4.5944 2.6250
O Fe Tl Pu
8 1 1 2
direct
0.3333 0.6667 0.5932 O
0.3058 0.9432 0.1776 O
0.3626 0.3058 0.8224 O
0.6942 0.0568 0.8224 O
0.0568 0.3626 0.1776 O
0.6667 0.3333 0.4068 O
0.9432 0.6374 0.8224 O
0.6374 0.6942 0.1776 O
0.0000 0.0000 0.5000 Fe
0.0000 0.0000 0.0000 Tl
0.3333 0.6667 0.9248 Pu
0.6667 0.3333 0.0752 Pu
```

Results
- total DFT energy (no corrections) (eV/atom) = -7.747


No. 3
Below is a geometry-optimized Pu3Tl2FeO12 structure, with properties calculated at the PBE+U level.

Geometry as POSCAR:
```
Pu3Tl2FeO12
1.0
7.4550 -0.2251 -0.1596
3.4859 6.5936 -0.1596
3.4859 2.0291 6.2756
O Tl Pu Fe
12 2 3 1
direct
0.0589 0.6928 0.0589 O
0.3198 0.9505 0.3198 O
0.6802 0.6802 0.0495 O
0.0495 0.6802 0.6802 O
0.3198 0.3198 0.9505 O
0.9411 0.9411 0.3072 O
0.3072 0.9411 0.9411 O
0.9411 0.3072 0.9411 O
0.6928 0.0589 0.0589 O
0.0589 0.0589 0.6928 O
0.9505 0.3198 0.3198 O
0.6802 0.0495 0.6802 O
0.6588 0.6588 0.6588 Tl
0.3412 0.3412 0.3412 Tl
0.5000 0.0000 0.0000 Pu
0.0000 0.5000 0.0000 Pu
0.0000 0.0000 0.5000 Pu
0.0000 0.0000 0.0000 Fe
```

Results
- total DFT energy (no corrections) (eV/atom) = -8.289


No. 4
Below is a geometry-optimized PuTlFe2O8 structure, with properties calculated at the PBE+U level.

Geometry as POSCAR:
```
PuTlFe2O8
1.0
-0.6768 -5.7762 -1.1990
2.4117 2.7607 -4.6714
3.5718 0.6207 4.7028
Fe O Tl Pu
2 8 1 1
direct
0.5000 0.5000 0.0000 Fe
0.7500 0.2500 0.5000 Fe
0.9319 0.6371 0.7051 O
0.8828 0.7003 0.1824 O
0.7732 0.0681 0.7051 O
0.2997 0.1172 0.8176 O
0.3629 0.0681 0.2949 O
0.2997 0.4821 0.1824 O
0.9319 0.2268 0.2949 O
0.5179 0.7003 0.8176 O
0.2500 0.7500 0.5000 Tl
0.0000 0.0000 0.0000 Pu
```

Results
- total DFT energy (no corrections) (eV/atom) = -6.975